Entry from the Alexandria database: a relaxed structure of NaVRuO4 (GGA+U).

Computed properties:
uncorrected energy: -6.828 eV/atom

Cell lengths 5.554, 9.136, 6.696 Å; angles 90.00, 90.00, 90.00 degrees
Space group Cmcm (No. 63)
One atom of each set of equivalent atoms:
Na1 0.000 0.179 0.250 (multiplicity 4)
V1 0.000 0.158 0.750 (multiplicity 4)
Ru1 0.000 0.500 0.000 (multiplicity 4)
O1 0.000 0.286 0.553 (multiplicity 8)
O2 0.230 0.464 0.250 (multiplicity 8)